Here is a geometry-optimized Tl3Cr2F9 structure from Alexandria. Energies are from PBE+U.

Cell lengths 6.158, 6.158, 15.721 Å; angles 90.00, 90.00, 120.00 degrees
Positions (direct):
Tl1 0.000 0.000 0.250
Tl2 0.000 0.000 0.750
Tl3 0.333 0.667 0.064
Tl4 0.333 0.667 0.436
Tl5 0.667 0.333 0.564
Tl6 0.667 0.333 0.936
Cr1 0.333 0.667 0.661
Cr2 0.333 0.667 0.839
Cr3 0.667 0.333 0.161
Cr4 0.667 0.333 0.339
F1 0.056 0.528 0.750
F2 0.185 0.370 0.595
F3 0.185 0.370 0.905
F4 0.185 0.815 0.595
F5 0.185 0.815 0.905
F6 0.370 0.185 0.095
F7 0.370 0.185 0.405
F8 0.472 0.528 0.750
F9 0.472 0.944 0.750
F10 0.528 0.056 0.250
F11 0.528 0.472 0.250
F12 0.630 0.815 0.595
F13 0.630 0.815 0.905
F14 0.815 0.185 0.095
F15 0.815 0.185 0.405
F16 0.815 0.630 0.095
F17 0.815 0.630 0.405
F18 0.944 0.472 0.250

Values from the calculation:
* SG: P6_3/mmc
* DFT total energy: -5.1251 eV per atom
* M_tot: 6.00 μB per formula unit
* density of states at the Fermi level: 0.00 states/eV/f.u.